! TbTm2Ge2 | Alexandria | PBE | relaxed; values from VASP
! ΔE_f, eV per atom: -0.59
&SYSTEM
  ibrav = 0, nat = 10, ntyp = 3
/
ATOMIC_SPECIES
Tb 158.93 Tb.upf
Tm 168.93 Tm.upf
Ge 72.64 Ge.upf
CELL_PARAMETERS angstrom
5.657 0.000 0.000
0.000 4.113 0.000
-1.083 0.000 11.070
ATOMIC_POSITIONS angstrom
Tb 0.230 1.028 3.100
Tb 4.344 3.085 7.970
Tm 0.380 1.028 10.468
Tm 1.574 1.028 7.009
Tm 3.000 3.085 4.061
Tm 4.194 3.085 0.602
Ge 0.318 3.085 5.285
Ge 1.372 3.085 1.381
Ge 3.202 1.028 9.689
Ge 4.256 1.028 5.785

---

! Tb3TmGe4 | Alexandria | PBE | relaxed; values from VASP
! ΔE_f, eV per atom: -0.68
&SYSTEM
  ibrav = 0, nat = 16, ntyp = 3
/
ATOMIC_SPECIES
Tb 158.93 Tb.upf
Tm 168.93 Tm.upf
Ge 72.64 Ge.upf
CELL_PARAMETERS angstrom
4.031 0.000 0.000
0.000 6.348 0.000
0.000 0.000 15.726
ATOMIC_POSITIONS angstrom
Tb 0.000 0.000 0.000
Tb 0.000 3.174 3.073
Tb 0.000 3.174 12.653
Tb 2.015 0.000 4.790
Tb 2.015 0.000 10.936
Tb 2.015 3.174 7.863
Tm 0.000 0.000 7.863
Tm 2.015 3.174 0.000
Ge 0.000 1.938 5.809
Ge 0.000 1.938 9.916
Ge 0.000 4.410 5.809
Ge 0.000 4.410 9.916
Ge 2.015 1.236 2.054
Ge 2.015 1.236 13.672
Ge 2.015 5.111 2.054
Ge 2.015 5.111 13.672

---

! TbTmZnGe | Alexandria | PBE | relaxed; values from VASP
! ΔE_f, eV per atom: -0.62
&SYSTEM
  ibrav = 0, nat = 8, ntyp = 4
/
ATOMIC_SPECIES
Tb 158.93 Tb.upf
Tm 168.93 Tm.upf
Zn 65.41 Zn.upf
Ge 72.64 Ge.upf
CELL_PARAMETERS angstrom
4.089 0.000 0.000
0.000 4.169 0.000
0.000 0.000 10.841
ATOMIC_POSITIONS angstrom
Tb 0.000 0.000 0.000
Tb 0.000 2.085 5.420
Tm 2.045 0.000 3.061
Tm 2.045 2.085 8.481
Zn 2.045 0.000 6.157
Zn 2.045 2.085 0.737
Ge 0.000 0.000 7.810
Ge 0.000 2.085 2.390

---

! TbTmZnGe | Alexandria | PBE | relaxed; values from VASP
! ΔE_f, eV per atom: -0.52
&SYSTEM
  ibrav = 0, nat = 16, ntyp = 4
/
ATOMIC_SPECIES
Tb 158.93 Tb.upf
Tm 168.93 Tm.upf
Zn 65.41 Zn.upf
Ge 72.64 Ge.upf
CELL_PARAMETERS angstrom
7.064 0.000 0.000
0.000 7.064 0.000
0.000 0.000 7.064
ATOMIC_POSITIONS angstrom
Tb 0.000 0.000 0.000
Tb 0.000 3.532 3.532
Tb 3.532 0.000 3.532
Tb 3.532 3.532 0.000
Tm 0.000 0.000 3.532
Tm 0.000 3.532 0.000
Tm 3.532 0.000 0.000
Tm 3.532 3.532 3.532
Zn 1.766 1.766 5.298
Zn 1.766 5.298 1.766
Zn 5.298 1.766 1.766
Zn 5.298 5.298 5.298
Ge 1.766 1.766 1.766
Ge 1.766 5.298 5.298
Ge 5.298 1.766 5.298
Ge 5.298 5.298 1.766

---

! TbUGe2 | Alexandria | PBE | relaxed; values from VASP
! ΔE_f, eV per atom: -0.37
&SYSTEM
  ibrav = 0, nat = 4, ntyp = 3
/
ATOMIC_SPECIES
Tb 158.93 Tb.upf
U 238.03 U.upf
Ge 72.64 Ge.upf
CELL_PARAMETERS angstrom
3.317 0.000 0.000
0.000 3.317 0.000
0.000 0.000 8.002
ATOMIC_POSITIONS angstrom
Tb 0.000 0.000 0.000
U 0.000 0.000 4.001
Ge 1.659 1.659 2.023
Ge 1.659 1.659 5.979

---

! TbUGe2 | Alexandria | PBE | relaxed; values from VASP
! ΔE_f, eV per atom: -0.38
&SYSTEM
  ibrav = 0, nat = 12, ntyp = 3
/
ATOMIC_SPECIES
Tb 158.93 Tb.upf
U 238.03 U.upf
Ge 72.64 Ge.upf
CELL_PARAMETERS angstrom
4.149 0.000 0.000
-2.075 3.594 0.000
0.000 0.000 19.982
ATOMIC_POSITIONS angstrom
Tb 0.000 0.000 0.000
Tb 0.000 2.396 13.321
Tb 2.075 1.198 6.661
U 0.000 0.000 9.991
U 0.000 2.396 3.330
U 2.075 1.198 16.652
Ge 0.000 0.000 4.887
Ge 0.000 0.000 15.094
Ge 0.000 2.396 8.434
Ge 0.000 2.396 18.209
Ge 2.075 1.198 1.773
Ge 2.075 1.198 11.548

---

! TbUGe | Alexandria | PBE | relaxed; values from VASP
! ΔE_f, eV per atom: -0.12
&SYSTEM
  ibrav = 0, nat = 12, ntyp = 3
/
ATOMIC_SPECIES
Tb 158.93 Tb.upf
U 238.03 U.upf
Ge 72.64 Ge.upf
CELL_PARAMETERS angstrom
3.240 0.000 0.000
0.000 5.101 0.000
0.000 0.000 17.404
ATOMIC_POSITIONS angstrom
Tb 0.000 0.000 3.027
Tb 0.000 0.000 14.378
Tb 1.620 2.551 5.675
Tb 1.620 2.551 11.729
U 0.000 1.273 8.702
U 0.000 3.828 8.702
U 1.620 1.278 0.000
U 1.620 3.824 0.000
Ge 0.000 0.000 6.018
Ge 0.000 0.000 11.386
Ge 1.620 2.551 2.684
Ge 1.620 2.551 14.720

---

! TbVGe | Alexandria | PBE | relaxed; values from VASP
! ΔE_f, eV per atom: -0.45
&SYSTEM
  ibrav = 0, nat = 18, ntyp = 3
/
ATOMIC_SPECIES
Tb 158.93 Tb.upf
V 50.94 V.upf
Ge 72.64 Ge.upf
CELL_PARAMETERS angstrom
7.300 0.000 0.000
0.000 3.921 0.000
-0.081 0.000 12.531
ATOMIC_POSITIONS angstrom
Tb 0.278 0.980 3.506
Tb 2.490 2.941 11.438
Tb 3.285 2.941 7.748
Tb 3.934 0.980 4.783
Tb 4.730 0.980 1.093
Tb 6.942 2.941 9.025
V 0.025 2.941 0.925
V 0.773 0.980 6.685
V 2.582 2.941 2.503
V 4.638 0.980 10.028
V 6.446 2.941 5.845
V 7.195 0.980 11.606
Ge 1.721 2.941 5.206
Ge 1.756 0.980 0.975
Ge 1.807 0.980 9.363
Ge 5.413 2.941 3.168
Ge 5.464 2.941 11.555
Ge 5.499 0.980 7.325